Material: Li4In
Method: DFT, PBE
State: relaxed

```
Li4In
1.0
-3.208 3.208 3.208
3.208 -3.208 3.208
3.208 3.208 -3.208
Li In
4 1
Direct
0.500 0.500 0.500
0.500 0.000 0.000
0.000 0.500 0.000
0.000 0.000 0.500
0.000 0.000 0.000
```

Calculated values
As for the calculated formation energy: 0.063 eV/atom. For the density, the calculation gives 1.79 Mg/m³. The space group is No. 229. The value obtained for the density of states at the Fermi level is 1.94 states/eV/cell. The value obtained for the total energy is -2.02 eV/atom.

Material: LiIn2
Method: DFT, PBE
State: relaxed

```
LiIn2
1.0
5.575 0.000 0.015
0.000 3.287 0.000
-1.158 0.000 7.480
In Li
4 2
Direct
0.000 0.500 0.500
0.500 0.000 0.500
0.233 0.500 0.147
0.767 0.500 0.853
0.267 0.000 0.824
0.733 0.000 0.176
```

Calculated values
As for the calculated formation energy: -0.161 eV/atom. For the density, the calculation gives 5.73 Mg/m³. The space group is No. 10. The value obtained for the density of states at the Fermi level is 2.40 states/eV/cell. The value obtained for the total energy is -2.62 eV/atom.

Material: LiIn6
Method: DFT, PBE
State: relaxed

```
LiIn6
1.0
-4.765 2.306 4.699
4.200 -4.804 3.063
3.908 5.450 -2.265
In Li
6 1
Direct
0.750 0.500 0.250
0.500 0.250 0.750
0.250 0.500 0.750
0.500 0.750 0.250
0.250 0.750 0.500
0.750 0.250 0.500
0.000 0.000 0.000
```

Calculated values
As for the calculated formation energy: 0.328 eV/atom. For the density, the calculation gives 4.23 Mg/m³. The space group is No. 229. The value obtained for the density of states at the Fermi level is 4.96 states/eV/cell. The value obtained for the total energy is -2.29 eV/atom.

Material: Li4In3
Method: DFT, PBE
State: relaxed

```
Li4In3
1.0
3.271 0.000 0.000
0.000 3.589 0.000
-1.635 -1.794 11.331
Li In
4 3
Direct
0.716 0.216 0.432
0.572 0.072 0.144
0.284 0.784 0.568
0.428 0.928 0.856
0.147 0.647 0.294
0.853 0.353 0.706
0.000 0.500 0.000
```

Calculated values
As for the calculated formation energy: -0.270 eV/atom. For the density, the calculation gives 4.65 Mg/m³. The space group is No. 71. The value obtained for the density of states at the Fermi level is 1.66 states/eV/cell. The value obtained for the total energy is -2.54 eV/atom.

Material: LiIn2
Method: DFT, PBE
State: relaxed

```
LiIn2
1.0
-1.599 -4.885 -6.150
-0.080 2.397 7.648
-4.549 2.558 -0.849
Li In
2 4
Direct
0.107 0.893 0.500
0.671 0.329 0.000
0.330 0.670 0.000
0.448 0.552 0.500
0.014 0.986 0.000
0.763 0.237 0.500
```

Calculated values
As for the calculated formation energy: -0.129 eV/atom. For the density, the calculation gives 5.65 Mg/m³. The space group is No. 63. The value obtained for the density of states at the Fermi level is 1.90 states/eV/cell. The value obtained for the total energy is -2.59 eV/atom.

Material: LiIn2
Method: DFT, PBE
State: relaxed

```
LiIn2
1.0
4.639 0.000 0.000
2.319 4.021 0.000
2.319 1.342 3.790
Li In
1 2
Direct
0.000 0.000 0.000
0.750 0.750 0.750
0.250 0.250 0.250
```

Calculated values
As for the calculated formation energy: -0.074 eV/atom. For the density, the calculation gives 5.56 Mg/m³. The space group is No. 225. The value obtained for the density of states at the Fermi level is 1.79 states/eV/cell. The value obtained for the total energy is -2.54 eV/atom.

Material: LiIn2
Method: DFT, PBE
State: relaxed

```
LiIn2
1.0
7.012 -0.027 0.000
5.579 4.249 0.000
-6.295 -2.111 2.255
In Li
2 1
Direct
0.343 0.343 0.000
0.657 0.657 0.000
0.000 0.000 0.000
```

Calculated values
As for the calculated formation energy: -0.173 eV/atom. For the density, the calculation gives 5.82 Mg/m³. The space group is No. 139. The value obtained for the density of states at the Fermi level is 0.92 states/eV/cell. The value obtained for the total energy is -2.64 eV/atom.

Material: LiIn4
Method: DFT, PBE
State: relaxed

```
LiIn4
1.0
6.550 -2.849 1.643
2.869 -0.731 6.705
-6.078 -1.206 -3.916
In Li
4 1
Direct
0.393 0.393 0.000
0.250 0.750 0.500
0.750 0.250 0.500
0.607 0.607 0.000
0.000 0.000 0.000
```

Calculated values
As for the calculated formation energy: 0.026 eV/atom. For the density, the calculation gives 5.42 Mg/m³. The space group is No. 139. The value obtained for the density of states at the Fermi level is 1.41 states/eV/cell. The value obtained for the total energy is -2.55 eV/atom.

Material: LiIn5
Method: DFT, PBE
State: relaxed

```
LiIn5
1.0
-3.127 -0.972 -0.260
2.464 -0.817 -5.830
4.062 -14.051 3.685
In Li
10 2
Direct
0.551 0.102 0.094
0.713 0.426 0.914
0.897 0.794 0.250
0.713 0.426 0.586
0.449 0.898 0.594
0.287 0.574 0.086
0.551 0.102 0.406
0.287 0.574 0.414
0.103 0.206 0.750
0.449 0.898 0.906
0.854 0.708 0.750
0.146 0.292 0.250
```

Calculated values
As for the calculated formation energy: -0.054 eV/atom. For the density, the calculation gives 6.32 Mg/m³. The space group is No. 63. The value obtained for the density of states at the Fermi level is 3.34 states/eV/cell. The value obtained for the total energy is -2.65 eV/atom.

Material: Li11In3
Method: DFT, PBE
State: relaxed

```
Li11In3
1.0
4.510 0.000 1.195
1.770 7.155 2.428
0.359 0.048 7.752
Li In
11 3
Direct
0.154 0.127 0.566
0.846 0.434 0.873
0.000 0.500 0.500
0.636 0.731 0.997
0.500 0.649 0.351
0.500 0.351 0.649
0.154 0.566 0.127
0.364 0.003 0.269
0.846 0.873 0.434
0.636 0.997 0.731
0.364 0.269 0.003
0.000 0.000 0.000
0.290 0.710 0.710
0.710 0.290 0.290
```

Calculated values
As for the calculated formation energy: -0.137 eV/atom. For the density, the calculation gives 2.83 Mg/m³. The space group is No. 71. The value obtained for the density of states at the Fermi level is 3.33 states/eV/cell. The value obtained for the total energy is -2.23 eV/atom.

Material: Li13In3
Method: DFT, PBE
State: relaxed

```
Li13In3
1.0
6.782 -0.028 0.000
-0.052 6.782 0.000
0.000 0.000 6.706
In Li
3 13
Direct
0.006 0.994 0.752
0.006 0.994 0.248
0.736 0.264 0.000
0.501 0.001 0.244
0.499 0.501 0.252
0.245 0.755 0.000
0.999 0.499 0.756
0.759 0.241 0.500
0.501 0.001 0.756
0.999 0.499 0.244
0.499 0.501 0.748
0.245 0.245 0.500
0.251 0.246 0.000
0.247 0.753 0.500
0.754 0.749 0.000
0.755 0.755 0.500
```

Calculated values
As for the calculated formation energy: -0.146 eV/atom. For the density, the calculation gives 2.34 Mg/m³. The space group is No. 38. The value obtained for the density of states at the Fermi level is 5.78 states/eV/cell. The value obtained for the total energy is -2.21 eV/atom.

Material: Li3In7
Method: DFT, PBE
State: relaxed

```
Li3In7
1.0
4.305 0.000 -1.321
-0.861 5.765 -2.808
0.522 -0.555 9.379
Li In
3 7
Direct
0.806 0.225 0.612
0.194 0.775 0.388
0.000 0.000 0.000
0.203 0.284 0.406
0.389 0.101 0.778
0.000 0.500 0.000
0.596 0.375 0.192
0.797 0.716 0.594
0.404 0.625 0.808
0.611 0.899 0.222
```

Calculated values
As for the calculated formation energy: -0.159 eV/atom. For the density, the calculation gives 5.97 Mg/m³. The space group is No. 12. The value obtained for the density of states at the Fermi level is 3.86 states/eV/cell. The value obtained for the total energy is -2.65 eV/atom.